Record 1
This record from Alexandria describes a relaxed BaYRh4 crystal. The functional is PBEsol.

## Properties
As for the crystal system: cubic. The total DFT energy (no corrections) comes out at -7.234 eV per atom. For the size of the total moment, the calculation gives 0.0 Bohr magnetons per cell. The density is 9.63 g cm⁻³. For the density of states at the Fermi level, the calculation gives 7.23 states/eV/f.u.

a b c (Å): 5.378 5.378 5.378
angles (deg): 60.00 60.00 60.00
Fractional positions:
Y: 0.750 0.750 0.750
Rh: 0.376 0.376 0.376
Rh: 0.376 0.376 0.873
Rh: 0.873 0.376 0.376
Rh: 0.376 0.873 0.376
Ba: 0.000 0.000 0.000

***

Record 2
This record from Alexandria describes a relaxed Cu3Au5 crystal. The functional is PBEsol.

## Properties
As for the crystal system: hexagonal. The total DFT energy (no corrections) comes out at -4.009 eV per atom. For the size of the total moment, the calculation gives 0.0 Bohr magnetons per cell. The density is 15.92 g cm⁻³. For the density of states at the Fermi level, the calculation gives 2.49 states/eV/f.u.

a b c (Å): 5.191 7.385 7.385
angles (deg): 120.00 90.00 90.00
Fractional positions:
Au: 0.750 0.000 0.230
Au: 0.250 0.000 0.770
Au: 0.750 0.770 0.770
Au: 0.250 0.770 0.000
Au: 0.000 0.667 0.333
Au: 0.500 0.667 0.333
Au: 0.000 0.333 0.667
Au: 0.500 0.333 0.667
Au: 0.250 0.230 0.230
Au: 0.750 0.230 0.000
Cu: 0.250 0.000 0.406
Cu: 0.750 0.000 0.594
Cu: 0.250 0.594 0.594
Cu: 0.750 0.594 0.000
Cu: 0.750 0.406 0.406
Cu: 0.250 0.406 0.000

***

Record 3
This record from Alexandria describes a relaxed Rb3Pm crystal. The functional is PBEsol.

## Properties
As for the crystal system: cubic. The total DFT energy (no corrections) comes out at -1.406 eV per atom. For the size of the total moment, the calculation gives 1.9 Bohr magnetons per cell. The density is 2.69 g cm⁻³. For the density of states at the Fermi level, the calculation gives 7.96 states/eV/f.u.

a b c (Å): 7.052 7.052 7.052
angles (deg): 60.00 60.00 60.00
Fractional positions:
Rb: 0.250 0.250 0.250
Rb: 0.750 0.750 0.750
Rb: 0.500 0.500 0.500
Pm: 0.000 0.000 0.000

***

Record 4
This record from Alexandria describes a relaxed CaB3Rh crystal. The functional is PBEsol.

## Properties
As for the crystal system: cubic. The total DFT energy (no corrections) comes out at -5.792 eV per atom. For the size of the total moment, the calculation gives 0.0 Bohr magnetons per cell. The density is 4.41 g cm⁻³. For the density of states at the Fermi level, the calculation gives 1.62 states/eV/f.u.

a b c (Å): 4.042 4.042 4.042
angles (deg): 90.00 90.00 90.00
Fractional positions:
Ca: 0.500 0.500 0.500
B: 0.000 0.500 0.000
B: 0.000 0.000 0.500
B: 0.500 0.000 0.000
Rh: 0.000 0.000 0.000

***

Record 5
This record from Alexandria describes a relaxed Ho2GaCo2 crystal. The functional is PBEsol.

## Properties
As for the crystal system: orthorhombic. The total DFT energy (no corrections) comes out at -6.194 eV per atom. For the size of the total moment, the calculation gives 0.0 Bohr magnetons per cell. The density is 10.02 g cm⁻³. For the density of states at the Fermi level, the calculation gives 4.34 states/eV/f.u.

a b c (Å): 3.983 5.239 5.239
angles (deg): 60.88 67.66 67.66
Fractional positions:
Co: 0.500 0.282 0.718
Co: 0.500 0.718 0.282
Ho: 0.794 0.706 0.706
Ho: 0.206 0.294 0.294
Ga: 0.000 0.000 0.000

***

Record 6
This record from Alexandria describes a relaxed KTl2Cd crystal. The functional is PBEsol.

## Properties
As for the crystal system: orthorhombic. The total DFT energy (no corrections) comes out at -1.919 eV per atom. For the size of the total moment, the calculation gives 0.0 Bohr magnetons per cell. The density is 7.83 g cm⁻³. For the density of states at the Fermi level, the calculation gives 1.24 states/eV/f.u.

a b c (Å): 3.642 5.925 6.511
angles (deg): 117.06 106.24 90.00
Fractional positions:
Tl: 0.777 0.777 0.554
Tl: 0.223 0.223 0.446
K: 0.000 0.500 0.000
Cd: 0.500 0.000 0.000

***

Record 7
This record from Alexandria describes a relaxed CsNbC3 crystal. The functional is PBEsol.

## Properties
As for the crystal system: cubic. The total DFT energy (no corrections) comes out at -4.084 eV per atom. For the size of the total moment, the calculation gives 0.0 Bohr magnetons per cell. The density is 5.74 g cm⁻³. For the density of states at the Fermi level, the calculation gives 3.44 states/eV/f.u.

a b c (Å): 4.230 4.230 4.230
angles (deg): 90.00 90.00 90.00
Fractional positions:
Cs: 0.000 0.000 0.000
Nb: 0.500 0.500 0.500
C: 0.000 0.500 0.000
C: 0.000 0.000 0.500
C: 0.500 0.000 0.000

***

Record 8
This record from Alexandria describes a relaxed Mn4MoPt crystal. The functional is PBEsol.

## Properties
As for the crystal system: cubic. The total DFT energy (no corrections) comes out at -9.703 eV per atom. For the size of the total moment, the calculation gives 1.9 Bohr magnetons per cell. The density is 11.90 g cm⁻³. For the density of states at the Fermi level, the calculation gives 8.16 states/eV/f.u.

a b c (Å): 4.654 4.654 4.654
angles (deg): 60.00 60.00 60.00
Fractional positions:
Mn: 0.373 0.373 0.373
Mn: 0.373 0.373 0.881
Mn: 0.881 0.373 0.373
Mn: 0.373 0.881 0.373
Mo: 0.750 0.750 0.750
Pt: 0.000 0.000 0.000